[1]
Below is crystalline MnBeSe2 at its relaxed geometry, with properties calculated at the GGA-PBE level.

```
data_MnBeSe2
_cell_length_a 6.480
_cell_length_b 6.480
_cell_length_c 6.480
_cell_angle_alpha 90.00
_cell_angle_beta 90.00
_cell_angle_gamma 90.00
_space_group_name_H-M_alt 'F -4 3 m'
_space_group_IT_number 216
_space_group_name_Hall 'F -4 2 3'
loop_
_atom_site_label
_atom_site_fract_x
_atom_site_fract_y
_atom_site_fract_z
Mn1 0.000 0.000 0.000
Be1 0.250 0.250 0.750
Se1 0.000 0.000 0.500
Se2 0.250 0.250 0.250
```

=====

[2]
Below is crystalline LaYN2 at its relaxed geometry, with properties calculated at the GGA-PBE level.

```
data_LaYN2
_cell_length_a 5.493
_cell_length_b 5.493
_cell_length_c 10.727
_cell_angle_alpha 90.00
_cell_angle_beta 90.00
_cell_angle_gamma 90.00
_space_group_name_H-M_alt 'I -4 2 d'
_space_group_IT_number 122
_space_group_name_Hall 'I -4 2bw'
loop_
_atom_site_label
_atom_site_fract_x
_atom_site_fract_y
_atom_site_fract_z
La1 0.000 0.000 0.000
Y1 0.000 0.000 0.500
N1 0.230 0.250 0.625
```

=====

Listing formation energy without anion corrections for the structures above in their given order: 0.656 -1.348 eV per atom.